# 1
This record from Alexandria via LeMat-Bulk describes crystalline Ta4Ru2W at its relaxed geometry. The functional is PBE.

The structure in POSCAR format:
```
Ta4Ru2W
1.0
-3.463 4.030 -1.288
1.044 -2.943 -4.487
-2.278 -3.130 3.861
Ta Ru W
4 2 1
direct
0.500 0.000 0.000
0.500 0.500 0.500
0.000 0.000 0.500
0.000 0.500 0.000
0.500 0.500 0.000
0.500 0.000 0.500
0.000 0.000 0.000
```

Values from the calculation:
Symmetry: I4/mmm (139)
Total moment in μB per cell: 0.00
Density in g/cm3: 14.7
Total DFT energy (no corrections) in eV per atom: -11.28


# 2
This record from Alexandria via LeMat-Bulk describes crystalline Ta3RuW at its relaxed geometry. The functional is PBE.

The structure in POSCAR format:
```
Ta3RuW
1.0
4.788 0.000 0.000
0.000 4.788 0.000
0.000 0.000 4.788
Ru W Ta
1 1 3
direct
0.500 0.500 0.500
0.000 0.000 0.000
0.000 0.500 0.000
0.000 0.000 0.500
0.500 0.000 0.000
```

Values from the calculation:
Symmetry: Pm-3m (221)
Total moment in μB per cell: 0.00
Energy above the most stable polymorph in this dataset in meV per atom: 2100
Density in g/cm3: 12.5
Total DFT energy (no corrections) in eV per atom: -9.73


# 3
This record from Alexandria via LeMat-Bulk describes crystalline Ta2RuW at its relaxed geometry. The functional is PBE.

The structure in POSCAR format:
```
Ta2RuW
1.0
-4.478 0.564 -0.424
-2.292 -2.340 -3.133
-2.831 -3.308 1.262
Ru Ta W
1 2 1
direct
0.500 0.500 0.500
0.000 0.000 0.000
0.250 0.250 0.250
0.750 0.750 0.750
```

Values from the calculation:
Symmetry: F-43m (216)
Total moment in μB per cell: 0.00
Density in g/cm3: 16.3
Total DFT energy (no corrections) in eV per atom: -11.56


# 4
This record from Alexandria via LeMat-Bulk describes crystalline Ta2RuW at its relaxed geometry. The functional is PBE.

The structure in POSCAR format:
```
Ta2RuW
1.0
5.316 0.000 -0.001
-2.420 4.656 -0.002
0.475 0.842 2.668
Ru Ta W
1 2 1
direct
0.500 0.500 0.000
0.000 0.000 0.000
0.500 0.000 0.500
0.000 0.500 0.500
```

Values from the calculation:
Symmetry: C2/m (12)
Total moment in μB per cell: 0.00
Density in g/cm3: 16.3
Total DFT energy (no corrections) in eV per atom: -11.61


# 5
This record from Alexandria via LeMat-Bulk describes crystalline Ta2RuW at its relaxed geometry. The functional is PBE.

The structure in POSCAR format:
```
Ta2RuW
1.0
-3.108 8.545 -1.095
-4.568 7.222 -3.294
-5.666 7.173 -0.554
Ru Ta W
1 2 1
direct
0.752 0.752 0.752
0.005 0.005 0.005
0.249 0.249 0.249
0.494 0.494 0.494
```

Values from the calculation:
Symmetry: R3m (160)
Total moment in μB per cell: 0.00
Density in g/cm3: 15.8
Total DFT energy (no corrections) in eV per atom: -11.31


# 6
This record from Alexandria via LeMat-Bulk describes crystalline Ta2RuW at its relaxed geometry. The functional is PBE.

The structure in POSCAR format:
```
Ta2RuW
1.0
8.636 -0.001 -0.001
8.098 3.001 -0.001
8.098 1.452 2.627
Ru Ta W
1 2 1
direct
0.750 0.750 0.750
0.002 0.002 0.002
0.498 0.498 0.498
0.250 0.250 0.250
```

Values from the calculation:
Symmetry: R-3m (166)
Total moment in μB per cell: 0.00
Density in g/cm3: 15.8
Total DFT energy (no corrections) in eV per atom: -11.35


Which of these has the lowest total DFT energy (no corrections)? number 4